Record 1
VASP calculation (PBE-GGA) on crystalline AgSb5W3 at its relaxed geometry.

The structure in POSCAR format:
```
AgSb5W3
1.0
5.553 0.000 0.000
-2.776 4.809 0.000
0.000 0.000 8.423
Ag Sb W
1 5 3
direct
0.000 0.000 0.000
0.000 0.000 0.500
0.333 0.667 0.213
0.333 0.667 0.787
0.667 0.333 0.213
0.667 0.333 0.787
0.000 0.500 0.500
0.500 0.000 0.500
0.500 0.500 0.500
```

Summary:
Crystal system: hexagonal



Record 2
VASP calculation (PBE-GGA) on crystalline YAgSb at its relaxed geometry.

The structure in POSCAR format:
```
YAgSb
1.0
0.000 3.509 3.509
3.509 0.000 3.509
3.509 3.509 0.000
Y Ag Sb
1 1 1
direct
0.000 0.000 0.000
0.750 0.750 0.750
0.250 0.250 0.250
```

Summary:
Crystal system: cubic



Record 3
VASP calculation (PBE-GGA) on crystalline Zr3AgSb5 at its relaxed geometry.

The structure in POSCAR format:
```
Zr3AgSb5
1.0
6.283 0.000 0.000
-3.142 5.442 0.000
0.000 0.000 7.337
Zr Ag Sb
3 1 5
direct
0.000 0.500 0.000
0.500 0.000 0.000
0.500 0.500 0.000
0.000 0.000 0.500
0.000 0.000 0.000
0.333 0.667 0.308
0.333 0.667 0.692
0.667 0.333 0.308
0.667 0.333 0.692
```

Summary:
Crystal system: hexagonal



Record 4
VASP calculation (PBE-GGA) on crystalline Sc2Ag at its relaxed geometry.

The structure in POSCAR format:
```
Sc2Ag
1.0
0.000 4.011 4.011
4.011 0.000 4.011
4.011 4.011 0.000
Sc Ag
4 2
direct
0.000 0.000 0.000
0.000 0.000 0.500
0.000 0.500 0.000
0.500 0.000 0.000
0.375 0.375 0.375
0.625 0.625 0.625
```

Summary:
Crystal system: cubic
Formation enthalpy at 0 K in eV per atom: 0.32



no.,total magnetization (μB/cell),energy (eV/cell)
1,0.01,-58.9
2,0.00,-14.5
3,0.01,-49.7
4,0.31,-29.0